DFT (GGA-PBE) results for a relaxed structure of HfTiFeCu.

Structure (POSCAR):
```
HfTiFeCu
1.0
4.399 0.000 0.000
2.199 3.810 0.000
2.199 1.270 3.592
Hf Fe Cu Ti
1 1 1 1
Direct
0.750 0.750 0.750 Hf
0.000 0.000 0.000 Fe
0.500 0.500 0.500 Cu
0.250 0.250 0.250 Ti
```

The size of the total moment comes out at 0.05 μB/f.u. The value obtained for the formation energy is -175 meV/atom.

---

DFT (GGA-PBE) results for a relaxed structure of Ba2IrW.

Structure (POSCAR):
```
Ba2IrW
1.0
-1.010 -9.436 -3.614
2.042 -9.783 -1.799
-1.875 -1.658 2.834
Ir Ba W
1 2 1
Direct
0.750 0.750 0.750 Ir
0.105 0.105 0.899 Ba
0.395 0.395 0.601 Ba
0.250 0.250 0.250 W
```

The size of the total moment comes out at 0.40 μB/f.u. The value obtained for the formation energy is 461 meV/atom. For the offset from the most stable computed form, the calculation gives 0.313 eV per atom.

---

DFT (GGA-PBE) results for a relaxed structure of Gd2ScH.

Structure (POSCAR):
```
Gd2ScH
1.0
-2.516 0.543 -2.426
-0.820 -2.558 -2.300
-6.828 -3.583 3.699
Sc H Gd
1 1 2
Direct
0.500 0.500 0.500 Sc
0.000 0.000 0.000 H
0.725 0.725 0.825 Gd
0.275 0.275 0.175 Gd
```

The size of the total moment comes out at 14.63 μB/f.u. The calculated total energy comes out at -9.602 eV/atom.

---

DFT (GGA-PBE) results for a relaxed structure of CdCo2Pb.

Structure (POSCAR):
```
CdCo2Pb
1.0
-0.501 4.553 -0.516
-1.193 1.737 -4.099
-4.199 1.802 -0.606
Cd Co Pb
1 2 1
Direct
0.500 0.500 0.500 Cd
0.000 0.000 0.000 Co
0.250 0.250 0.250 Co
0.750 0.750 0.750 Pb
```

The size of the total moment comes out at 2.72 μB/f.u. The value obtained for the formation energy is 675 meV/atom. For the offset from the most stable computed form, the calculation gives 0.373 eV per atom.

---

DOS at the Fermi energy values, unit states/eV/f.u., following the record order: 3.40, 5.02, 4.49, 7.21.